Run A
Here is a relaxed CrTcMo2 crystal from the Alexandria database. Energies are from GGA-PBE.

It has space group R-3m (No. 166, hexagonal axes), with a = 2.8605 Å, b = 2.8605 Å, c = 25.0742 Å, α = 90.00°, β = 90.00° and γ = 120.00°. The inequivalent atoms are Cr at (0.0000, 0.0000, 0.0000), Tc at (0.0000, 0.0000, 0.5000) and Mo at (0.0000, 0.0000, 0.2540).

Run B
Here is a relaxed CrTcMo2 crystal from the Alexandria database. Energies are from GGA-PBE.

It has space group Fm-3m (No. 225), with a = 6.1562 Å, b = 6.1562 Å, c = 6.1562 Å, α = 90.00°, β = 90.00° and γ = 90.00°. The inequivalent atoms are Cr at (0.0000, 0.0000, 0.0000), Tc at (0.0000, 0.0000, 0.5000) and Mo at (0.2500, 0.2500, 0.2500).

Run C
Here is a relaxed CrTcMo2 crystal from the Alexandria database. Energies are from GGA-PBE.

It has space group P4mm (No. 99), with a = 2.7570 Å, b = 2.7570 Å, c = 7.7617 Å, α = 90.00°, β = 90.00° and γ = 90.00°. The inequivalent atoms are Cr at (0.0000, 0.0000, 0.0000), Tc at (0.5000, 0.5000, 0.8021), Mo at (0.0000, 0.0000, 0.5335) and Mo at (0.5000, 0.5000, 0.2449).

Which one is the least stable? From the structures above, run A.